No. 1
## SrPrCuSi (PBE)

Data for SrPrCuSi after structural relaxation.

## Properties
Raw formation energy in eV per atom: -0.243

The structure in extended XYZ format:
```
4
Lattice="-4.600 -2.211 -1.197 -0.123 -4.655 -2.409 -1.618 -4.256 2.600" Properties=species:S:1:pos:R:3 pbc="T T T"
Pr -4.756 -8.341 -0.755
Sr -1.585 -2.780 -0.252
Si 0.000 0.000 0.000
Cu -3.171 -5.561 -0.503
```

=====

No. 2
## Ba2VBiMo (PBE)

Data for Ba2VBiMo after structural relaxation.

## Properties
DFT formation energy in meV/atom: 647

The structure in extended XYZ format:
```
5
Lattice="-3.860 0.767 -4.963 -1.691 -3.980 0.699 -4.387 2.531 3.803" Properties=species:S:1:pos:R:3 pbc="T T T"
Mo 0.000 0.000 0.000
V -0.845 -1.990 0.350
Bi -4.968 -0.341 -0.230
Ba -2.193 1.266 1.901
Ba -1.930 0.384 -2.481
```

=====

No. 3
## Cd2CuPt2O6 (PBE)

Data for Cd2CuPt2O6 after structural relaxation.

## Properties
Raw formation energy in eV per atom: -0.491

The structure in extended XYZ format:
```
11
Lattice="5.668 -0.133 0.152 -2.917 4.862 0.152 -0.882 -1.517 5.308" Properties=species:S:1:pos:R:3 pbc="T T T"
Cd 4.361 0.627 0.152
Cd -1.611 4.101 0.152
Cu -0.441 -0.758 2.654
Pt -0.458 2.416 2.806
Pt 2.326 0.796 2.806
O 1.409 2.423 3.808
O -1.631 1.001 3.849
O 0.459 0.789 1.803
O 1.676 -0.923 3.849
O 3.499 2.211 1.763
O 0.192 4.135 1.763
```

=====

No. 4
## TmNiRh (PBE)

Data for TmNiRh after structural relaxation.

## Properties
DFT formation energy in meV/atom: -370

The structure in extended XYZ format:
```
3
Lattice="3.341 0.000 0.000 0.000 3.341 0.000 -1.670 -1.670 4.511" Properties=species:S:1:pos:R:3 pbc="T T T"
Ni 1.670 1.670 1.219
Tm 1.670 1.670 4.059
Rh 0.000 0.000 2.390
```